{"formula": "YZrW2Se", "functional": "PBE", "state": "relaxed", "cell": [[-4.356, -0.630, -2.245], [2.333, -0.101, -4.498], [0.515, -4.899, 0.377]], "species": ["W", "W", "Zr", "Y", "Se"], "fractional_positions": [[0.000, 0.000, 0.500], [0.500, 0.000, 0.000], [0.500, 0.500, 0.500], [0.000, 0.000, 0.000], [0.000, 0.500, 0.000]], "rho_g_cm3": 8.4, "total_energy_ev_per_cell": -33.97, "space_group": "No. 123"}

---

{"formula": "HoMgIrPd", "functional": "PBE", "state": "relaxed", "cell": [[-1.762, -0.589, -4.308], [1.944, -3.111, -2.924], [-2.286, -3.952, -1.079]], "species": ["Mg", "Ir", "Ho", "Pd"], "fractional_positions": [[0.250, 0.250, 0.250], [0.000, 0.000, 0.000], [0.750, 0.750, 0.750], [0.500, 0.500, 0.500]], "rho_g_cm3": 11.1, "total_energy_ev_per_cell": -23.13, "space_group": "No. 216", "formation_energy_ev_per_atom": -0.726}

---

{"formula": "YMg2Co", "functional": "PBE", "state": "relaxed", "cell": [[5.368, 0.012, 0.000], [-2.440, 4.781, 0.000], [0.000, 0.000, 3.231]], "species": ["Y", "Co", "Mg", "Mg"], "fractional_positions": [[0.500, 0.000, 0.500], [0.000, 0.500, 0.500], [0.000, 0.000, 0.000], [0.500, 0.500, 0.000]], "rho_g_cm3": 3.9, "total_energy_ev_per_cell": -15.48, "space_group": "No. 65", "formation_energy_ev_per_atom": 0.320}

---

{"formula": "Sr2HgRh", "functional": "PBE", "state": "relaxed", "cell": [[-0.599, -1.581, 4.232], [-3.934, -4.463, -2.223], [8.369, -2.836, 0.124]], "species": ["Sr", "Sr", "Sr", "Sr", "Rh", "Rh", "Hg", "Hg"], "fractional_positions": [[0.750, 0.208, 0.440], [0.250, 0.792, 0.560], [0.750, 0.230, 0.918], [0.250, 0.770, 0.082], [0.250, 0.370, 0.718], [0.750, 0.630, 0.282], [0.750, 0.652, 0.784], [0.250, 0.348, 0.216]], "rho_g_cm3": 6.7, "total_energy_ev_per_cell": -25.15, "space_group": "No. 11", "formation_energy_ev_per_atom": -0.390}

---

{"formula": "Ni2GeN2", "functional": "PBE", "state": "relaxed", "cell": [[5.706, 0.000, 0.000], [0.000, 5.706, 0.000], [0.000, 0.000, 3.106]], "species": ["Ni", "Ni", "Ni", "Ni", "N", "N", "N", "N", "Ge", "Ge"], "fractional_positions": [[0.158, 0.658, 0.500], [0.658, 0.842, 0.500], [0.842, 0.342, 0.500], [0.342, 0.158, 0.500], [0.821, 0.679, 0.000], [0.679, 0.179, 0.000], [0.179, 0.321, 0.000], [0.321, 0.821, 0.000], [0.500, 0.500, 0.000], [0.000, 0.000, 0.000]], "rho_g_cm3": 7.2, "total_energy_ev_per_cell": -57.15, "space_group": "No. 127", "polymorph_energy_ev_per_atom": 0.176}

---

{"formula": "KAlGa2Br", "functional": "PBE", "state": "relaxed", "cell": [[5.036, 0.000, 0.000], [0.000, 6.136, 0.000], [0.000, 0.000, 5.036]], "species": ["Ga", "Ga", "Br", "Al", "K"], "fractional_positions": [[0.500, 0.000, 0.000], [0.000, 0.000, 0.500], [0.000, 0.500, 0.000], [0.000, 0.000, 0.000], [0.500, 0.500, 0.500]], "rho_g_cm3": 3.0, "total_energy_ev_per_cell": -13.42, "space_group": "No. 123"}

---

{"formula": "KTeSI2", "functional": "PBE", "state": "relaxed", "cell": [[-5.797, -0.585, 0.338], [0.616, -5.776, 0.567], [0.254, 0.548, 5.311]], "species": ["I", "I", "K", "Te", "S"], "fractional_positions": [[0.500, 0.000, 0.000], [0.000, 0.500, 0.000], [0.500, 0.500, 0.500], [0.000, 0.000, 0.500], [0.000, 0.000, 0.000]], "rho_g_cm3": 4.1, "total_energy_ev_per_cell": -12.63, "space_group": "No. 123", "polymorph_energy_ev_per_atom": 0.223}

---

{"formula": "HfAsC2", "functional": "PBE", "state": "relaxed", "cell": [[0.000, 2.898, 2.898], [2.898, 0.000, 2.898], [2.898, 2.898, 0.000]], "species": ["As", "C", "C", "Hf"], "fractional_positions": [[0.000, 0.000, 0.000], [0.750, 0.750, 0.750], [0.250, 0.250, 0.250], [0.500, 0.500, 0.500]], "rho_g_cm3": 9.5, "total_energy_ev_per_cell": -27.66, "space_group": "No. 225", "formation_energy_ev_per_atom": 1.348, "polymorph_energy_ev_per_atom": 0.800}

---

{"formula": "BeZnCuAg", "functional": "PBE", "state": "relaxed", "cell": [[-1.985, -2.670, -2.581], [0.584, -4.149, 0.409], [-3.109, -2.429, 1.470]], "species": ["Cu", "Ag", "Zn", "Be"], "fractional_positions": [[0.250, 0.250, 0.250], [0.750, 0.750, 0.750], [0.500, 0.500, 0.500], [0.000, 0.000, 0.000]], "rho_g_cm3": 7.7, "total_energy_ev_per_cell": -11.57, "space_group": "No. 216", "formation_energy_ev_per_atom": 0.095}

---

{"formula": "TlGa3Sb3", "functional": "PBE", "state": "relaxed", "cell": [[-3.384, -5.147, 4.561], [4.348, -5.540, -3.026], [5.328, 1.251, 5.366]], "species": ["Ga", "Ga", "Ga", "Ga", "Ga", "Ga", "Sb", "Sb", "Sb", "Sb", "Sb", "Sb", "Tl", "Tl"], "fractional_positions": [[0.000, 0.750, 0.500], [0.000, 0.250, 0.500], [0.500, 0.000, 0.750], [0.750, 0.500, 0.000], [0.500, 0.000, 0.250], [0.250, 0.500, 0.000], [0.500, 0.750, 0.000], [0.750, 0.000, 0.500], [0.000, 0.500, 0.750], [0.250, 0.000, 0.500], [0.500, 0.250, 0.000], [0.000, 0.500, 0.250], [0.000, 0.000, 0.000], [0.500, 0.500, 0.500]], "rho_g_cm3": 5.7, "total_energy_ev_per_cell": -47.21, "space_group": "No. 223"}

---

{"formula": "TlP2PtO8", "functional": "PBE", "state": "relaxed", "cell": [[4.834, 0.000, 0.000], [2.417, 4.186, 0.000], [2.417, 1.395, 8.620]], "species": ["Tl", "O", "O", "O", "O", "O", "O", "O", "O", "Pt", "P", "P"], "fractional_positions": [[0.500, 0.500, 0.500], [0.209, 0.209, 0.373], [0.733, 0.008, 0.863], [0.267, 0.992, 0.137], [0.604, 0.267, 0.137], [0.008, 0.396, 0.863], [0.992, 0.604, 0.137], [0.396, 0.733, 0.863], [0.791, 0.791, 0.627], [0.000, 0.000, 0.000], [0.268, 0.268, 0.197], [0.732, 0.732, 0.803]], "rho_g_cm3": 5.6, "total_energy_ev_per_cell": -76.40, "space_group": "No. 148"}

---

{"formula": "TbGa3TcNi", "functional": "PBE", "state": "relaxed", "cell": [[-3.385, -3.610, 3.124], [1.701, -5.642, -4.677], [3.258, 1.569, 5.343]], "species": ["Tb", "Tb", "Tc", "Tc", "Ga", "Ga", "Ga", "Ga", "Ga", "Ga", "Ni", "Ni"], "fractional_positions": [[0.250, 0.714, 0.427], [0.750, 0.286, 0.573], [0.750, 0.573, 0.147], [0.250, 0.427, 0.853], [0.000, 0.752, 0.000], [0.750, 0.801, 0.602], [0.500, 0.752, 0.000], [0.000, 0.248, 0.000], [0.250, 0.199, 0.398], [0.500, 0.248, 0.000], [0.750, 0.024, 0.048], [0.250, 0.976, 0.952]], "rho_g_cm3": 7.6, "total_energy_ev_per_cell": -62.53, "space_group": "No. 63", "formation_energy_ev_per_atom": -0.235}

---

{"formula": "CdPb2Au2", "functional": "PBE", "state": "relaxed", "cell": [[4.743, 0.000, 0.000], [0.000, 4.743, 0.000], [2.371, 2.371, 6.196]], "species": ["Au", "Au", "Pb", "Pb", "Cd"], "fractional_positions": [[0.607, 0.607, 0.786], [0.393, 0.393, 0.214], [0.750, 0.250, 0.500], [0.250, 0.750, 0.500], [0.000, 0.000, 0.000]], "rho_g_cm3": 11.0, "total_energy_ev_per_cell": -14.23, "space_group": "No. 139", "formation_energy_ev_per_atom": 0.131, "polymorph_energy_ev_per_atom": 0.214}

---

{"formula": "Ge6RuPt3", "functional": "PBE", "state": "relaxed", "cell": [[3.704, 0.000, 0.000], [0.000, 9.601, -5.458], [0.000, -1.291, 10.669]], "species": ["Ge", "Ge", "Ge", "Ge", "Ge", "Ge", "Ge", "Ge", "Ge", "Ge", "Ge", "Ge", "Pt", "Pt", "Pt", "Pt", "Pt", "Pt", "Ru", "Ru"], "fractional_positions": [[0.750, 0.281, 0.733], [0.250, 0.537, 0.925], [0.250, 0.266, 0.277], [0.750, 0.463, 0.075], [0.750, 0.029, 0.343], [0.250, 0.971, 0.657], [0.250, 0.845, 0.033], [0.250, 0.366, 0.560], [0.750, 0.734, 0.723], [0.250, 0.719, 0.267], [0.750, 0.634, 0.440], [0.750, 0.155, 0.967], [0.750, 0.526, 0.750], [0.750, 0.069, 0.137], [0.250, 0.124, 0.546], [0.250, 0.474, 0.250], [0.750, 0.876, 0.454], [0.250, 0.931, 0.863], [0.750, 0.733, 0.104], [0.250, 0.267, 0.896]], "rho_g_cm3": 10.5, "total_energy_ev_per_cell": -115.98, "space_group": "No. 11", "formation_energy_ev_per_atom": -0.289}

---

{"formula": "PmTm2Cd2", "functional": "PBE", "state": "relaxed", "cell": [[3.665, 0.000, -0.491], [0.000, 5.372, 0.000], [-0.005, 0.000, 13.888]], "species": ["Cd", "Cd", "Cd", "Cd", "Tm", "Tm", "Tm", "Tm", "Pm", "Pm"], "fractional_positions": [[0.642, 0.750, 0.283], [0.452, 0.750, 0.904], [0.358, 0.250, 0.717], [0.548, 0.250, 0.096], [0.047, 0.750, 0.093], [0.764, 0.250, 0.527], [0.953, 0.250, 0.907], [0.236, 0.750, 0.473], [0.850, 0.750, 0.703], [0.150, 0.250, 0.297]], "rho_g_cm3": 8.6, "total_energy_ev_per_cell": -33.52, "space_group": "No. 11", "formation_energy_ev_per_atom": -0.247, "polymorph_energy_ev_per_atom": 0.000}

---

{"formula": "AcPr2MgTl4", "functional": "PBE", "state": "relaxed", "cell": [[-0.620, 2.645, 4.620], [-4.747, 2.160, 1.235], [-4.478, -6.877, 6.444]], "species": ["Tl", "Tl", "Tl", "Tl", "Ac", "Pr", "Pr", "Mg"], "fractional_positions": [[0.614, 0.614, 0.157], [0.125, 0.125, 0.625], [0.875, 0.875, 0.375], [0.386, 0.386, 0.843], [0.000, 0.000, 0.000], [0.766, 0.766, 0.703], [0.234, 0.234, 0.297], [0.500, 0.500, 0.500]], "rho_g_cm3": 9.0, "total_energy_ev_per_cell": -27.20, "space_group": "No. 166", "formation_energy_ev_per_atom": -0.310}

---

{"formula": "KSrAg3", "functional": "PBE", "state": "relaxed", "cell": [[6.071, 0.000, 0.000], [0.000, 6.071, 0.000], [0.000, 0.000, 6.071]], "species": ["K", "Sr", "Ag", "Ag", "Ag"], "fractional_positions": [[0.500, 0.500, 0.500], [0.000, 0.000, 0.000], [0.000, 0.500, 0.000], [0.500, 0.000, 0.000], [0.000, 0.000, 0.500]], "rho_g_cm3": 3.3, "total_energy_ev_per_cell": -9.59, "space_group": "No. 221", "formation_energy_ev_per_atom": 0.349, "polymorph_energy_ev_per_atom": 0.000}

---

{"formula": "OsAu", "functional": "PBE", "state": "relaxed", "cell": [[0.505, -0.289, -5.313], [2.568, -1.880, -4.294], [-3.356, -6.064, -2.674]], "species": ["Os", "Os", "Os", "Au", "Au", "Au"], "fractional_positions": [[0.950, 0.950, 0.637], [0.256, 0.256, 0.888], [0.657, 0.657, 0.672], [0.359, 0.359, 0.368], [0.649, 0.649, 0.258], [0.963, 0.963, 0.010]], "rho_g_cm3": 19.4, "total_energy_ev_per_cell": -40.66, "space_group": "No. 8", "formation_energy_ev_per_atom": 0.477, "polymorph_energy_ev_per_atom": 0.194}

---

{"formula": "SmGe2Rh4", "functional": "PBE", "state": "relaxed", "cell": [[3.901, 0.000, 0.000], [0.000, 7.750, 0.000], [0.000, 0.000, 7.750]], "species": ["Rh", "Rh", "Rh", "Rh", "Rh", "Rh", "Rh", "Rh", "Ge", "Ge", "Ge", "Ge", "Sm", "Sm"], "fractional_positions": [[0.000, 0.923, 0.662], [0.500, 0.423, 0.838], [0.500, 0.577, 0.162], [0.000, 0.077, 0.338], [0.000, 0.338, 0.077], [0.500, 0.162, 0.577], [0.000, 0.662, 0.923], [0.500, 0.838, 0.423], [0.000, 0.774, 0.226], [0.000, 0.226, 0.774], [0.500, 0.274, 0.274], [0.500, 0.726, 0.726], [0.000, 0.500, 0.500], [0.500, 0.000, 0.000]], "rho_g_cm3": 10.0, "total_energy_ev_per_cell": -96.51, "space_group": "No. 136", "formation_energy_ev_per_atom": -0.700, "polymorph_energy_ev_per_atom": 0.000}

---

{"formula": "CsMnN", "functional": "PBE", "state": "relaxed", "cell": [[-0.602, 3.509, -0.701], [-6.748, -1.493, -1.677], [-3.016, 1.619, 10.692]], "species": ["N", "N", "N", "N", "Cs", "Cs", "Cs", "Cs", "Mn", "Mn", "Mn", "Mn"], "fractional_positions": [[0.250, 0.359, 0.453], [0.750, 0.641, 0.547], [0.250, 0.141, 0.953], [0.750, 0.859, 0.047], [0.250, 0.059, 0.671], [0.750, 0.559, 0.829], [0.250, 0.441, 0.171], [0.750, 0.941, 0.329], [0.750, 0.405, 0.468], [0.250, 0.595, 0.532], [0.750, 0.095, 0.968], [0.250, 0.905, 0.032]], "rho_g_cm3": 4.6, "total_energy_ev_per_cell": -73.77, "space_group": "No. 62"}

---

{"formula": "Na3Zr2CoS6", "functional": "PBE", "state": "relaxed", "cell": [[6.390, -0.001, 0.000], [-3.194, 5.534, 0.000], [-1.066, -1.845, 6.695]], "species": ["Co", "Na", "Na", "Na", "Zr", "Zr", "S", "S", "S", "S", "S", "S"], "fractional_positions": [[0.000, 0.000, 0.000], [0.500, 0.500, 0.500], [0.833, 0.167, 0.500], [0.167, 0.833, 0.500], [0.333, 0.667, 0.000], [0.667, 0.333, 0.000], [0.928, 0.600, 0.784], [0.072, 0.400, 0.216], [0.400, 0.072, 0.216], [0.744, 0.744, 0.217], [0.256, 0.256, 0.783], [0.600, 0.928, 0.784]], "rho_g_cm3": 3.5, "total_energy_ev_per_cell": -67.66, "space_group": "No. 12"}

---

{"formula": "Dy2ThNpN4", "functional": "PBE", "state": "relaxed", "cell": [[3.522, 0.000, 0.000], [0.000, 6.094, 0.105], [0.000, -2.133, 5.725]], "species": ["Dy", "Dy", "N", "N", "N", "N", "Th", "Np"], "fractional_positions": [[0.000, 0.500, 0.500], [0.500, 0.000, 0.500], [0.500, 0.760, 0.754], [0.000, 0.758, 0.251], [0.500, 0.240, 0.246], [0.000, 0.242, 0.749], [0.500, 0.500, 0.000], [0.000, 0.000, 0.000]], "rho_g_cm3": 11.4, "total_energy_ev_per_cell": -74.77, "space_group": "No. 10"}

---

{"formula": "BiSb2Se", "functional": "PBE", "state": "relaxed", "cell": [[4.414, 0.000, 0.000], [2.207, 3.823, 0.000], [2.207, 1.274, 7.036]], "species": ["Bi", "Sb", "Sb", "Se"], "fractional_positions": [[0.500, 0.500, 0.500], [0.744, 0.744, 0.767], [0.256, 0.256, 0.233], [0.000, 0.000, 0.000]], "rho_g_cm3": 7.4, "total_energy_ev_per_cell": -15.44, "space_group": "No. 166", "polymorph_energy_ev_per_atom": 0.095}

---

{"formula": "TiMnSn2", "functional": "PBE", "state": "relaxed", "cell": [[-2.683, 1.498, -0.706], [-2.744, -1.066, 1.128], [-0.826, 5.357, 7.463]], "species": ["Sn", "Sn", "Ti", "Mn"], "fractional_positions": [[0.747, 0.747, 0.758], [0.253, 0.253, 0.242], [0.500, 0.500, 0.500], [0.000, 0.000, 0.000]], "rho_g_cm3": 7.3, "total_energy_ev_per_cell": -24.71, "space_group": "No. 166", "formation_energy_ev_per_atom": 0.090, "polymorph_energy_ev_per_atom": 0.111}

---

{"formula": "ZrMnAl", "functional": "PBE", "state": "relaxed", "cell": [[-2.871, 0.773, -0.367], [0.695, -2.574, 1.367], [0.099, 3.256, 6.078]], "species": ["Mn", "Zr", "Al"], "fractional_positions": [[0.667, 0.333, 0.321], [0.333, 0.667, 0.659], [0.000, 0.000, 0.020]], "rho_g_cm3": 5.4, "total_energy_ev_per_cell": -21.24, "space_group": "No. 156", "formation_energy_ev_per_atom": 0.074}